No. 1
# Cs8BiAuF2, relaxed, DFT PBE
# Magnetization, μB per cell: 0.77
# Symmetry: P-3m1 (164)
# ΔE_f (raw), eV/f.u.: -11.893
# N(E_F), states/eV/cell: 5.95
data_Cs8BiAuF2
_space_group_name_H-M_alt 'P 1'
_space_group_IT_number 1
_space_group_name_Hall 'P 1'
_cell_length_a 9.2464
_cell_length_b 9.2464
_cell_length_c 10.9568
_cell_angle_alpha 90.00
_cell_angle_beta 90.00
_cell_angle_gamma 120.00
loop_
_atom_site_label
_atom_site_type_symbol
_atom_site_fract_x
_atom_site_fract_y
_atom_site_fract_z
Au1 Au 0.0000 0.0000 0.0000
Cs1 Cs 0.1654 0.3308 0.7745
Cs2 Cs 0.3308 0.1654 0.2255
Cs3 Cs 0.8346 0.1654 0.2255
Cs4 Cs 0.6667 0.3333 0.5639
Cs5 Cs 0.1654 0.8346 0.7745
Cs6 Cs 0.8346 0.6692 0.2255
Cs7 Cs 0.3333 0.6667 0.4361
Cs8 Cs 0.6692 0.8346 0.7745
Bi1 Bi 0.0000 0.0000 0.5000
F1 F 0.3333 0.6667 0.6861
F2 F 0.6667 0.3333 0.3139



No. 2
# SrCdTcP, relaxed, DFT PBE
# Formation energy, meV per atom: -546
# Magnetization, μB per cell: 0.00
# Symmetry: P4/nmm (129)
# N(E_F), states/eV/cell: 7.24
data_SrCdTcP
_space_group_name_H-M_alt 'P 1'
_space_group_IT_number 1
_space_group_name_Hall 'P 1'
_cell_length_a 4.0820
_cell_length_b 4.0820
_cell_length_c 11.6497
_cell_angle_alpha 90.00
_cell_angle_beta 90.00
_cell_angle_gamma 90.00
loop_
_atom_site_label
_atom_site_type_symbol
_atom_site_fract_x
_atom_site_fract_y
_atom_site_fract_z
Tc1 Tc 0.2500 0.7500 0.0000
Tc2 Tc 0.7500 0.2500 0.0000
Sr1 Sr 0.2500 0.2500 0.7683
Sr2 Sr 0.7500 0.7500 0.2317
P1 P 0.2500 0.2500 0.1064
P2 P 0.7500 0.7500 0.8936
Cd1 Cd 0.2500 0.7500 0.5000
Cd2 Cd 0.7500 0.2500 0.5000



No. 3
# PmErAu2, relaxed, DFT PBE
# Formation energy, meV per atom: -818
# Magnetization, μB per cell: 0.00
# ΔE to the lowest computed polymorph, meV per atom: 30
# Symmetry: Fm-3m (225)
# N(E_F), states/eV/cell: 2.77
data_PmErAu2
_space_group_name_H-M_alt 'P 1'
_space_group_IT_number 1
_space_group_name_Hall 'P 1'
_cell_length_a 5.1413
_cell_length_b 5.1413
_cell_length_c 5.1413
_cell_angle_alpha 60.00
_cell_angle_beta 60.00
_cell_angle_gamma 60.00
loop_
_atom_site_label
_atom_site_type_symbol
_atom_site_fract_x
_atom_site_fract_y
_atom_site_fract_z
Au1 Au 0.2500 0.2500 0.2500
Au2 Au 0.7500 0.7500 0.7500
Pm1 Pm 0.0000 0.0000 0.0000
Er1 Er 0.5000 0.5000 0.5000



No. 4
# Y3Ga2Ni6, relaxed, DFT PBE
# Formation energy, meV per atom: -542
# Magnetization, μB per cell: 0.00
# Symmetry: Im-3m (229)
# N(E_F), states/eV/cell: 14.25
data_Y3Ga2Ni6
_space_group_name_H-M_alt 'P 1'
_space_group_IT_number 1
_space_group_name_Hall 'P 1'
_cell_length_a 7.7271
_cell_length_b 7.7271
_cell_length_c 7.7271
_cell_angle_alpha 109.47
_cell_angle_beta 109.47
_cell_angle_gamma 109.47
loop_
_atom_site_label
_atom_site_type_symbol
_atom_site_fract_x
_atom_site_fract_y
_atom_site_fract_z
Ni1 Ni 0.3358 0.6717 0.3358
Ni2 Ni 0.3283 0.6642 0.6642
Ni3 Ni 0.6642 0.0000 0.3358
Ni4 Ni 0.6642 0.3283 0.6642
Ni5 Ni 0.6642 0.3358 0.0000
Ni6 Ni 0.6717 0.3358 0.3358
Ni7 Ni 0.0000 0.6642 0.3358
Ni8 Ni 0.3358 0.3358 0.6717
Ni9 Ni 0.6642 0.6642 0.3283
Ni10 Ni 0.3358 0.6642 0.0000
Ni11 Ni 0.0000 0.3358 0.6642
Ni12 Ni 0.3358 0.0000 0.6642
Y1 Y 0.0000 0.7093 0.7093
Y2 Y 0.7093 0.0000 0.7093
Y3 Y 0.2907 0.0000 0.2907
Y4 Y 0.0000 0.2907 0.2907
Y5 Y 0.2907 0.2907 0.0000
Y6 Y 0.7093 0.7093 0.0000
Ga1 Ga 0.0000 0.5000 0.0000
Ga2 Ga 0.0000 0.0000 0.5000
Ga3 Ga 0.5000 0.0000 0.0000
Ga4 Ga 0.5000 0.5000 0.5000



No. 5
# ScAs3Cl, relaxed, DFT PBE
# Magnetization, μB per cell: 0.00
# ΔE to the lowest computed polymorph, meV per atom: 262
# Symmetry: Pm-3m (221)
# ΔE_f (raw), eV/f.u.: 2.495
# N(E_F), states/eV/cell: 2.90
data_ScAs3Cl
_space_group_name_H-M_alt 'P 1'
_space_group_IT_number 1
_space_group_name_Hall 'P 1'
_cell_length_a 4.8251
_cell_length_b 4.8251
_cell_length_c 4.8251
_cell_angle_alpha 90.00
_cell_angle_beta 90.00
_cell_angle_gamma 90.00
loop_
_atom_site_label
_atom_site_type_symbol
_atom_site_fract_x
_atom_site_fract_y
_atom_site_fract_z
Sc1 Sc 0.5000 0.5000 0.5000
As1 As 0.0000 0.0000 0.5000
As2 As 0.5000 0.0000 0.0000
As3 As 0.0000 0.5000 0.0000
Cl1 Cl 0.0000 0.0000 0.0000



No. 6
# LiZn2Br, relaxed, DFT PBE
# Magnetization, μB per cell: 0.00
# ΔE to the lowest computed polymorph, meV per atom: 216
# Symmetry: Imm2 (44)
# ΔE_f (raw), eV/f.u.: -0.934
data_LiZn2Br
_space_group_name_H-M_alt 'P 1'
_space_group_IT_number 1
_space_group_name_Hall 'P 1'
_cell_length_a 5.6266
_cell_length_b 5.6266
_cell_length_c 5.6266
_cell_angle_alpha 142.98
_cell_angle_beta 113.75
_cell_angle_gamma 78.39
loop_
_atom_site_label
_atom_site_type_symbol
_atom_site_fract_x
_atom_site_fract_y
_atom_site_fract_z
Zn1 Zn 0.7632 0.2632 0.5000
Zn2 Zn 0.0025 0.0025 0.0000
Br1 Br 0.4660 0.4660 0.0000
Li1 Li 0.2682 0.7682 0.5000



No. 7
# Cu5HgF12, relaxed, DFT PBE
# Magnetization, μB per cell: 0.94
# Symmetry: C2/m (12)
# ΔE_f (raw), eV/f.u.: -25.764
data_Cu5HgF12
_space_group_name_H-M_alt 'P 1'
_space_group_IT_number 1
_space_group_name_Hall 'P 1'
_cell_length_a 6.4457
_cell_length_b 5.5890
_cell_length_c 8.8100
_cell_angle_alpha 81.42
_cell_angle_beta 75.01
_cell_angle_gamma 54.78
loop_
_atom_site_label
_atom_site_type_symbol
_atom_site_fract_x
_atom_site_fract_y
_atom_site_fract_z
F1 F 0.0125 0.6084 0.1214
F2 F 0.9184 0.0000 0.3867
F3 F 0.9875 0.3916 0.8786
F4 F 0.7593 0.6685 0.6039
F5 F 0.3792 0.6084 0.8786
F6 F 0.6208 0.3916 0.1214
F7 F 0.5722 0.6685 0.3961
F8 F 0.4278 0.3315 0.6039
F9 F 0.2407 0.3315 0.3961
F10 F 0.6721 0.0000 0.8890
F11 F 0.0816 0.0000 0.6133
F12 F 0.3279 0.0000 0.1110
Cu1 Cu 0.1660 0.6679 0.5000
Cu2 Cu 0.6598 0.6803 0.0000
Cu3 Cu 0.8340 0.3321 0.5000
Cu4 Cu 0.3402 0.3197 0.0000
Cu5 Cu 0.5000 0.0000 0.5000
Hg1 Hg 0.0000 0.0000 0.0000



No. 8
# Ce3As2, relaxed, DFT PBE
# Formation energy, meV per atom: -1036
# Magnetization, μB per cell: 15.98
# Symmetry: Pnma (62)
# N(E_F), states/eV/cell: 64.90
data_Ce3As2
_space_group_name_H-M_alt 'P 1'
_space_group_IT_number 1
_space_group_name_Hall 'P 1'
_cell_length_a 4.1611
_cell_length_b 10.9731
_cell_length_c 11.8375
_cell_angle_alpha 90.00
_cell_angle_beta 90.00
_cell_angle_gamma 90.00
loop_
_atom_site_label
_atom_site_type_symbol
_atom_site_fract_x
_atom_site_fract_y
_atom_site_fract_z
As1 As 0.2500 0.5012 0.3149
As2 As 0.7500 0.4988 0.6851
As3 As 0.2500 0.3177 0.9966
As4 As 0.2500 0.9988 0.8149
As5 As 0.7500 0.6823 0.0034
As6 As 0.7500 0.0012 0.1851
As7 As 0.7500 0.8177 0.5034
As8 As 0.2500 0.1823 0.4966
Ce1 Ce 0.2500 0.8678 0.0458
Ce2 Ce 0.7500 0.4452 0.1296
Ce3 Ce 0.7500 0.3678 0.4542
Ce4 Ce 0.2500 0.9452 0.3704
Ce5 Ce 0.2500 0.6322 0.5458
Ce6 Ce 0.7500 0.7052 0.2712
Ce7 Ce 0.7500 0.7948 0.7712
Ce8 Ce 0.2500 0.2948 0.7288
Ce9 Ce 0.7500 0.0548 0.6296
Ce10 Ce 0.2500 0.2052 0.2288
Ce11 Ce 0.7500 0.1322 0.9542
Ce12 Ce 0.2500 0.5548 0.8704



Question: Number 4 is which compound?
Answer: Y3Ga2Ni6